First-principles (meta-GGA SCAN) data for Te7As2F12 at its PBEsol-relaxed geometry, as listed in the Alexandria database.

a = 16.240 Å, b = 11.074 Å, c = 9.749 Å
α = 90.00°, β = 90.00°, γ = 90.00°
Positions (direct):
Te1 0.000 0.075 0.248
Te2 0.000 0.425 0.248
Te3 0.000 0.575 0.752
Te4 0.000 0.925 0.752
Te5 0.015 0.250 0.599
Te6 0.117 0.580 0.358
Te7 0.117 0.920 0.358
Te8 0.130 0.026 0.623
Te9 0.130 0.474 0.623
Te10 0.370 0.526 0.123
Te11 0.370 0.974 0.123
Te12 0.383 0.080 0.858
Te13 0.383 0.420 0.858
Te14 0.485 0.750 0.099
Te15 0.500 0.075 0.252
Te16 0.500 0.425 0.252
Te17 0.500 0.575 0.748
Te18 0.500 0.925 0.748
Te19 0.515 0.250 0.901
Te20 0.617 0.580 0.142
Te21 0.617 0.920 0.142
Te22 0.630 0.026 0.877
Te23 0.630 0.474 0.877
Te24 0.870 0.526 0.377
Te25 0.870 0.974 0.377
Te26 0.883 0.080 0.642
Te27 0.883 0.420 0.642
Te28 0.985 0.750 0.401
As1 0.168 0.250 0.015
As2 0.185 0.750 0.986
As3 0.315 0.250 0.486
As4 0.332 0.750 0.515
As5 0.668 0.250 0.485
As6 0.685 0.750 0.514
As7 0.815 0.250 0.014
As8 0.832 0.750 0.985
F1 0.060 0.250 0.999
F2 0.119 0.638 0.050
F3 0.119 0.862 0.050
F4 0.130 0.750 0.828
F5 0.162 0.137 0.143
F6 0.162 0.363 0.143
F7 0.176 0.137 0.888
F8 0.176 0.363 0.888
F9 0.223 0.750 0.532
F10 0.240 0.750 0.143
F11 0.249 0.138 0.422
F12 0.249 0.362 0.422
F13 0.251 0.638 0.922
F14 0.251 0.862 0.922
F15 0.260 0.250 0.643
F16 0.277 0.250 0.032
F17 0.324 0.637 0.388
F18 0.324 0.863 0.388
F19 0.338 0.637 0.643
F20 0.338 0.863 0.643
F21 0.370 0.250 0.328
F22 0.381 0.138 0.550
F23 0.381 0.362 0.550
F24 0.440 0.750 0.499
F25 0.560 0.250 0.501
F26 0.619 0.638 0.450
F27 0.619 0.862 0.450
F28 0.630 0.750 0.672
F29 0.662 0.137 0.357
F30 0.662 0.363 0.357
F31 0.676 0.137 0.612
F32 0.676 0.363 0.612
F33 0.723 0.750 0.968
F34 0.740 0.750 0.357
F35 0.749 0.138 0.078
F36 0.749 0.362 0.078
F37 0.751 0.638 0.578
F38 0.751 0.862 0.578
F39 0.760 0.250 0.857
F40 0.777 0.250 0.468
F41 0.824 0.637 0.112
F42 0.824 0.863 0.112
F43 0.838 0.637 0.857
F44 0.838 0.863 0.857
F45 0.870 0.250 0.172
F46 0.881 0.138 0.950
F47 0.881 0.362 0.950
F48 0.940 0.750 0.001

Computed properties:
VASP energy in eV per atom: -17.92
Magnetization in μB per formula unit: 0.00
Formation energy without anion corrections in eV per atom: -1.555
SG: No. 62


First-principles (meta-GGA SCAN) data for ZnTeAs2F at its PBEsol-relaxed geometry, as listed in the Alexandria database.

a = 5.260 Å, b = 5.260 Å, c = 5.208 Å
α = 90.00°, β = 90.00°, γ = 90.00°
Positions (direct):
Zn1 0.000 0.000 0.000
Te1 0.000 0.000 0.500
As1 0.000 0.500 0.500
As2 0.500 0.000 0.500
F1 0.500 0.500 0.000

Computed properties:
VASP energy in eV per atom: -18.16
Magnetization in μB per formula unit: 0.00
Formation energy without anion corrections in eV per atom: 0.776
SG: No. 123


First-principles (meta-GGA SCAN) data for TiAs2F at its PBEsol-relaxed geometry, as listed in the Alexandria database.

a = 4.403 Å, b = 4.403 Å, c = 4.403 Å
α = 60.00°, β = 60.00°, γ = 60.00°
Positions (direct):
Ti1 0.000 0.000 0.000
As1 0.250 0.250 0.250
As2 0.750 0.750 0.750
F1 0.500 0.500 0.500

Computed properties:
VASP energy in eV per atom: -15.52
Magnetization in μB per formula unit: 0.01
Formation energy without anion corrections in eV per atom: -0.534
SG: No. 225


Repeat the first record exactly.
First-principles (meta-GGA SCAN) data for Te7As2F12 at its PBEsol-relaxed geometry, as listed in the Alexandria database.

a = 16.240 Å, b = 11.074 Å, c = 9.749 Å
α = 90.00°, β = 90.00°, γ = 90.00°
Positions (direct):
Te1 0.000 0.075 0.248
Te2 0.000 0.425 0.248
Te3 0.000 0.575 0.752
Te4 0.000 0.925 0.752
Te5 0.015 0.250 0.599
Te6 0.117 0.580 0.358
Te7 0.117 0.920 0.358
Te8 0.130 0.026 0.623
Te9 0.130 0.474 0.623
Te10 0.370 0.526 0.123
Te11 0.370 0.974 0.123
Te12 0.383 0.080 0.858
Te13 0.383 0.420 0.858
Te14 0.485 0.750 0.099
Te15 0.500 0.075 0.252
Te16 0.500 0.425 0.252
Te17 0.500 0.575 0.748
Te18 0.500 0.925 0.748
Te19 0.515 0.250 0.901
Te20 0.617 0.580 0.142
Te21 0.617 0.920 0.142
Te22 0.630 0.026 0.877
Te23 0.630 0.474 0.877
Te24 0.870 0.526 0.377
Te25 0.870 0.974 0.377
Te26 0.883 0.080 0.642
Te27 0.883 0.420 0.642
Te28 0.985 0.750 0.401
As1 0.168 0.250 0.015
As2 0.185 0.750 0.986
As3 0.315 0.250 0.486
As4 0.332 0.750 0.515
As5 0.668 0.250 0.485
As6 0.685 0.750 0.514
As7 0.815 0.250 0.014
As8 0.832 0.750 0.985
F1 0.060 0.250 0.999
F2 0.119 0.638 0.050
F3 0.119 0.862 0.050
F4 0.130 0.750 0.828
F5 0.162 0.137 0.143
F6 0.162 0.363 0.143
F7 0.176 0.137 0.888
F8 0.176 0.363 0.888
F9 0.223 0.750 0.532
F10 0.240 0.750 0.143
F11 0.249 0.138 0.422
F12 0.249 0.362 0.422
F13 0.251 0.638 0.922
F14 0.251 0.862 0.922
F15 0.260 0.250 0.643
F16 0.277 0.250 0.032
F17 0.324 0.637 0.388
F18 0.324 0.863 0.388
F19 0.338 0.637 0.643
F20 0.338 0.863 0.643
F21 0.370 0.250 0.328
F22 0.381 0.138 0.550
F23 0.381 0.362 0.550
F24 0.440 0.750 0.499
F25 0.560 0.250 0.501
F26 0.619 0.638 0.450
F27 0.619 0.862 0.450
F28 0.630 0.750 0.672
F29 0.662 0.137 0.357
F30 0.662 0.363 0.357
F31 0.676 0.137 0.612
F32 0.676 0.363 0.612
F33 0.723 0.750 0.968
F34 0.740 0.750 0.357
F35 0.749 0.138 0.078
F36 0.749 0.362 0.078
F37 0.751 0.638 0.578
F38 0.751 0.862 0.578
F39 0.760 0.250 0.857
F40 0.777 0.250 0.468
F41 0.824 0.637 0.112
F42 0.824 0.863 0.112
F43 0.838 0.637 0.857
F44 0.838 0.863 0.857
F45 0.870 0.250 0.172
F46 0.881 0.138 0.950
F47 0.881 0.362 0.950
F48 0.940 0.750 0.001

Computed properties:
VASP energy in eV per atom: -17.92
Magnetization in μB per formula unit: 0.00
Formation energy without anion corrections in eV per atom: -1.555
SG: No. 62